# 1
Density functional theory data (PBE) for Rb3Zr3PdSe8 after structural relaxation.

Calculated values
* crystal system: monoclinic
* space group: C2/m (12)

```
Rb3Zr3PdSe8
1.0
7.107 -3.786 0.000
7.107 3.786 0.000
-4.990 0.000 8.076
Rb Zr Pd Se
3 3 1 8
Cartesian
0.000 0.000 0.000
3.554 1.893 0.000
3.554 -1.893 0.000
1.059 1.893 4.038
1.059 -1.893 4.038
4.612 0.000 4.038
-2.495 0.000 4.038
3.452 2.023 5.446
5.772 2.023 2.630
2.313 0.000 2.476
0.416 0.000 5.821
8.809 0.000 2.255
6.912 0.000 5.599
3.452 -2.023 5.446
5.772 -2.023 2.630
```

=====

# 2
Density functional theory data (PBE) for Rb2Zr2PdSe6 after structural relaxation.

Calculated values
* crystal system: monoclinic
* space group: C2/m (12)

```
Rb2Zr2PdSe6
1.0
3.383 -5.824 0.000
3.383 5.824 0.000
-2.156 0.000 8.210
Rb Zr Pd Se
2 2 1 6
Cartesian
3.383 3.953 0.000
3.383 -3.953 0.000
2.305 2.071 4.105
2.305 -2.071 4.105
-1.078 0.000 4.105
0.161 1.922 5.694
1.071 0.000 2.716
0.161 -1.922 5.694
4.449 1.922 2.516
3.539 0.000 5.495
4.449 -1.922 2.516
```

=====

# 3
Density functional theory data (PBE) for Rb2Si2Pd after structural relaxation.

Calculated values
* crystal system: tetragonal
* space group: P4/mbm (127)

```
Rb2Si2Pd
1.0
10.286 0.000 0.000
0.000 10.286 0.000
0.000 0.000 3.081
Rb Si Pd
4 4 2
Cartesian
2.201 2.942 0.000
2.942 8.085 0.000
7.344 2.201 0.000
8.085 7.344 0.000
0.780 5.923 1.541
4.363 0.780 1.541
5.923 9.506 1.541
9.506 4.363 1.541
0.000 0.000 0.000
5.143 5.143 0.000
```

=====

How do the records compare in total energy? In the order shown, they have -5.278; -5.188; -2.945 eV per atom.
How do the records compare in energy relative to the elements, uncorrected? In the order shown, they have -1170; -1085; 649 meV per atom.